Arrangement A

! Pr6SmTm2 (GGA-PBE, optimized geometry); values from VASP
! Fermi-level density of states ... 1.4031 states/eV/atom
! Total magnetic moment ... 0.00 μB/atom
&SYSTEM
  ibrav = 0, nat = 18, ntyp = 3
/
ATOMIC_SPECIES
Pr 140.91 Pr.upf
Sm 150.36 Sm.upf
Tm 168.93 Tm.upf
ATOMIC_POSITIONS crystal
Pr 0.8347 0.5034 0.6678
Pr 0.6653 0.3322 0.4966
Pr 0.1653 0.4966 0.3322
Pr 0.3347 0.6678 0.5034
Pr 0.9204 0.9211 0.4196
Pr 0.5796 0.5804 0.0789
Pr 0.0796 0.0789 0.5804
Pr 0.4204 0.4196 0.9211
Pr 0.1626 0.8307 0.9979
Pr 0.3374 0.0021 0.1693
Pr 0.8374 0.1693 0.0021
Pr 0.6626 0.9979 0.8307
Sm 0.2500 0.2494 0.7506
Sm 0.7500 0.7506 0.2494
Tm 0.0011 0.6668 0.8328
Tm 0.4989 0.1672 0.3332
Tm 0.9989 0.3332 0.1672
Tm 0.5011 0.8328 0.6668
CELL_PARAMETERS angstrom
5.7125 -0.9468 0.1856
-1.4631 10.1497 6.5509
-3.0250 1.7267 11.6593

Arrangement B

! Pr6SmTm2 (GGA-PBE, optimized geometry); values from VASP
! Fermi-level density of states ... 1.7432 states/eV/atom
! Total magnetic moment ... 0.00 μB/atom
&SYSTEM
  ibrav = 0, nat = 18, ntyp = 3
/
ATOMIC_SPECIES
Pr 140.91 Pr.upf
Sm 150.36 Sm.upf
Tm 168.93 Tm.upf
ATOMIC_POSITIONS crystal
Pr 0.2607 0.2607 0.3336
Pr 0.7393 0.7393 0.3336
Pr 0.2393 0.7607 0.8336
Pr 0.7607 0.2393 0.8336
Pr 0.2393 0.7607 0.1664
Pr 0.7607 0.2393 0.1664
Pr 0.2607 0.2607 0.6664
Pr 0.7393 0.7393 0.6664
Pr 0.2613 0.2613 0.0000
Pr 0.7387 0.7387 0.0000
Pr 0.2387 0.7613 0.5000
Pr 0.7613 0.2387 0.5000
Sm 0.0000 0.0000 0.0000
Sm 0.5000 0.5000 0.5000
Tm 0.0000 0.0000 0.3359
Tm 0.5000 0.5000 0.8359
Tm 0.5000 0.5000 0.1641
Tm 0.0000 0.0000 0.6641
CELL_PARAMETERS angstrom
-5.9137 -1.9290 5.5403
2.2969 -8.0001 -0.3337
6.8355 1.6344 7.8653

Most stable to least stable: arrangement A, arrangement B

Arrangement A

! Pr5Sm2Tm4 (GGA-PBE, optimized geometry); values from VASP
! Fermi-level density of states ... 1.4910 states/eV/atom
! Total magnetic moment ... 0.00 μB/atom
&SYSTEM
  ibrav = 0, nat = 11, ntyp = 3
/
ATOMIC_SPECIES
Pr 140.91 Pr.upf
Sm 150.36 Sm.upf
Tm 168.93 Tm.upf
ATOMIC_POSITIONS crystal
Pr 0.8833 0.4838 0.7665
Pr 0.1167 0.5162 0.2335
Pr 0.8339 0.9888 0.6678
Pr 0.5000 0.0000 0.0000
Pr 0.1661 0.0112 0.3322
Sm 0.6742 0.2859 0.3484
Sm 0.3258 0.7141 0.6516
Tm 0.3299 0.2325 0.6598
Tm 0.0049 0.7512 0.0098
Tm 0.6701 0.7675 0.3402
Tm 0.9951 0.2488 0.9902
CELL_PARAMETERS angstrom
3.5328 0.0000 -0.6671
-0.4601 11.9665 -2.4365
-0.0968 -0.8483 9.1746

Arrangement B

! Pr5Sm2Tm4 (GGA-PBE, optimized geometry); values from VASP
! Fermi-level density of states ... 1.5114 states/eV/atom
! Total magnetic moment ... 0.00 μB/atom
&SYSTEM
  ibrav = 0, nat = 11, ntyp = 3
/
ATOMIC_SPECIES
Pr 140.91 Pr.upf
Sm 150.36 Sm.upf
Tm 168.93 Tm.upf
ATOMIC_POSITIONS crystal
Pr 0.8559 0.0566 0.7117
Pr 0.8559 0.6552 0.7117
Pr 0.1441 0.3448 0.2883
Pr 0.1441 0.9434 0.2883
Pr 0.5000 0.0000 0.0000
Sm 0.2688 0.2688 0.5377
Sm 0.7312 0.7312 0.4623
Tm 0.0000 0.3174 0.0000
Tm 0.5959 0.5959 0.1918
Tm 0.0000 0.6826 0.0000
Tm 0.4041 0.4041 0.8082
CELL_PARAMETERS angstrom
-0.0829 1.2122 3.3334
-8.9796 1.7567 -0.8622
2.0322 -12.3494 2.6534

Most stable to least stable: arrangement A, arrangement B

Arrangement A

! Pr2SmTm6 (GGA-PBE, optimized geometry); values from VASP
! Fermi-level density of states ... 1.5958 states/eV/atom
! Total magnetic moment ... 0.00 μB/atom
&SYSTEM
  ibrav = 0, nat = 9, ntyp = 3
/
ATOMIC_SPECIES
Pr 140.91 Pr.upf
Sm 150.36 Sm.upf
Tm 168.93 Tm.upf
ATOMIC_POSITIONS crystal
Pr 0.2625 0.6667 0.3333
Pr 0.7375 0.3333 0.6667
Sm 0.5000 0.0000 0.0000
Tm 0.2299 0.6515 0.6734
Tm 0.2299 0.0219 0.3485
Tm 0.2299 0.3266 0.9781
Tm 0.7701 0.3485 0.3266
Tm 0.7701 0.9781 0.6515
Tm 0.7701 0.6734 0.0219
CELL_PARAMETERS angstrom
3.5313 0.0000 0.0000
0.0000 8.3877 -4.8426
0.0000 0.0000 9.6853

Arrangement B

! Pr2SmTm6 (GGA-PBE, optimized geometry); values from VASP
! Fermi-level density of states ... 1.2801 states/eV/atom
! Total magnetic moment ... 0.00 μB/atom
&SYSTEM
  ibrav = 0, nat = 18, ntyp = 3
/
ATOMIC_SPECIES
Pr 140.91 Pr.upf
Sm 150.36 Sm.upf
Tm 168.93 Tm.upf
ATOMIC_POSITIONS crystal
Pr 0.0881 0.6151 0.6712
Pr 0.4119 0.3288 0.3849
Pr 0.9119 0.3849 0.3288
Pr 0.5881 0.6712 0.6151
Sm 0.2500 0.1189 0.8811
Sm 0.7500 0.8811 0.1189
Tm 0.4336 0.7229 0.3436
Tm 0.0664 0.6564 0.2771
Tm 0.5664 0.2771 0.6564
Tm 0.9336 0.3436 0.7229
Tm 0.7534 0.9441 0.5386
Tm 0.7466 0.4614 0.0559
Tm 0.2466 0.0559 0.4614
Tm 0.2534 0.5386 0.9441
Tm 0.4467 0.7803 0.9561
Tm 0.0533 0.0439 0.2197
Tm 0.5533 0.2197 0.0439
Tm 0.9467 0.9561 0.7803
CELL_PARAMETERS angstrom
6.3131 1.2543 1.2142
3.2898 10.2215 0.0778
3.2898 0.4090 10.2135

Most stable to least stable: arrangement A, arrangement B

Arrangement A

! Pr7Sm2Tm3 (GGA-PBE, optimized geometry); values from VASP
! Fermi-level density of states ... 1.4491 states/eV/atom
! Total magnetic moment ... 0.00 μB/atom
&SYSTEM
  ibrav = 0, nat = 12, ntyp = 3
/
ATOMIC_SPECIES
Pr 140.91 Pr.upf
Sm 150.36 Sm.upf
Tm 168.93 Tm.upf
ATOMIC_POSITIONS crystal
Pr 0.5000 0.7417 0.4654
Pr 0.5000 0.2583 0.5346
Pr 0.0000 0.6694 0.1445
Pr 0.0000 0.0000 0.0000
Pr 0.0000 0.3306 0.8555
Pr 0.5000 0.8267 0.8166
Pr 0.5000 0.1733 0.1834
Sm 0.5000 0.7049 0.2989
Sm 0.5000 0.2951 0.7011
Tm 0.5000 0.5000 0.0000
Tm 0.0000 0.2175 0.3683
Tm 0.0000 0.7825 0.6317
CELL_PARAMETERS angstrom
3.6500 0.0000 0.0000
0.0000 5.9263 0.2373
0.0000 -2.0905 19.0800

Arrangement B

! Pr7Sm2Tm3 (GGA-PBE, optimized geometry); values from VASP
! Fermi-level density of states ... 1.4378 states/eV/atom
! Total magnetic moment ... 0.00 μB/atom
&SYSTEM
  ibrav = 0, nat = 12, ntyp = 3
/
ATOMIC_SPECIES
Pr 140.91 Pr.upf
Sm 150.36 Sm.upf
Tm 168.93 Tm.upf
ATOMIC_POSITIONS crystal
Pr 0.5000 0.2356 0.5063
Pr 0.5000 0.7644 0.4937
Pr 0.0000 0.5557 0.1651
Pr 0.0000 0.0000 0.0000
Pr 0.0000 0.4443 0.8349
Pr 0.5000 0.9445 0.8274
Pr 0.5000 0.0555 0.1726
Sm 0.5000 0.6112 0.3296
Sm 0.5000 0.3888 0.6704
Tm 0.5000 0.5000 0.0000
Tm 0.0000 0.1166 0.3413
Tm 0.0000 0.8834 0.6587
CELL_PARAMETERS angstrom
-2.3577 -2.5243 -0.9671
4.9006 -3.8065 -2.0116
4.6281 -9.9117 14.5889

Most stable to least stable: arrangement B, arrangement A

Arrangement A

! Pr5Sm12Tm2 (GGA-PBE, optimized geometry); values from VASP
! Fermi-level density of states ... 1.6345 states/eV/atom
! Total magnetic moment ... 0.00 μB/atom
&SYSTEM
  ibrav = 0, nat = 19, ntyp = 3
/
ATOMIC_SPECIES
Pr 140.91 Pr.upf
Sm 150.36 Sm.upf
Tm 168.93 Tm.upf
ATOMIC_POSITIONS crystal
Pr 0.3017 0.1982 0.1982
Pr 0.6984 0.3018 0.3018
Pr 0.5000 0.0000 0.0000
Pr 0.3016 0.6982 0.6982
Pr 0.6983 0.8018 0.8018
Sm 0.0991 0.9009 0.9009
Sm 0.1964 0.5510 0.0564
Sm 0.1964 0.0564 0.5510
Sm 0.5965 0.6492 0.1584
Sm 0.5965 0.1584 0.6492
Sm 0.0967 0.4035 0.4035
Sm 0.9033 0.5965 0.5965
Sm 0.4035 0.3508 0.8416
Sm 0.4035 0.8416 0.3508
Sm 0.8036 0.4490 0.9436
Sm 0.8036 0.9436 0.4490
Sm 0.9009 0.0991 0.0991
Tm 0.0000 0.2353 0.7647
Tm 0.0000 0.7647 0.2353
CELL_PARAMETERS angstrom
5.0184 0.0762 1.2361
0.4253 11.0147 8.3653
-0.7391 2.2583 13.6322

Arrangement B

! Pr5Sm12Tm2 (GGA-PBE, optimized geometry); values from VASP
! Fermi-level density of states ... 1.5849 states/eV/atom
! Total magnetic moment ... 0.00 μB/atom
&SYSTEM
  ibrav = 0, nat = 19, ntyp = 3
/
ATOMIC_SPECIES
Pr 140.91 Pr.upf
Sm 150.36 Sm.upf
Tm 168.93 Tm.upf
ATOMIC_POSITIONS crystal
Pr 0.2465 0.4930 0.7289
Pr 0.3004 0.6008 0.2102
Pr 0.0000 0.0000 0.5000
Pr 0.6996 0.3992 0.7898
Pr 0.7535 0.5070 0.2711
Sm 0.9458 0.8916 0.1739
Sm 0.0525 0.7075 0.8904
Sm 0.6550 0.7075 0.8904
Sm 0.1175 0.7255 0.4642
Sm 0.6079 0.7255 0.4642
Sm 0.4601 0.9201 0.6937
Sm 0.5399 0.0799 0.3063
Sm 0.8825 0.2745 0.5358
Sm 0.3921 0.2745 0.5358
Sm 0.9475 0.2925 0.1096
Sm 0.3450 0.2925 0.1096
Sm 0.0542 0.1084 0.8261
Tm 0.6732 0.0000 0.0000
Tm 0.3268 0.0000 0.0000
CELL_PARAMETERS angstrom
8.8180 0.0000 0.0000
-4.4090 8.5266 3.4075
0.0000 0.2398 8.8924

Most stable to least stable: arrangement A, arrangement B

Arrangement A

! Pr4Sm5Tm (GGA-PBE, optimized geometry); values from VASP
! Fermi-level density of states ... 1.4178 states/eV/atom
! Total magnetic moment ... 0.00 μB/atom
&SYSTEM
  ibrav = 0, nat = 10, ntyp = 3
/
ATOMIC_SPECIES
Pr 140.91 Pr.upf
Sm 150.36 Sm.upf
Tm 168.93 Tm.upf
ATOMIC_POSITIONS crystal
Pr 0.6533 0.2504 0.3113
Pr 0.9677 0.2479 0.9401
Pr 0.3467 0.7496 0.6887
Pr 0.0323 0.7521 0.0599
Sm 0.1723 0.5556 0.3478
Sm 0.1719 0.9488 0.3448
Sm 0.8281 0.0512 0.6552
Sm 0.5000 0.5000 0.0000
Sm 0.8277 0.4444 0.6522
Tm 0.5000 0.0000 0.0000
CELL_PARAMETERS angstrom
-0.2921 0.8773 3.4721
-11.2642 -1.1601 -0.6451
0.8340 -8.8889 0.4459

Arrangement B

! Pr4Sm5Tm (GGA-PBE, optimized geometry); values from VASP
! Fermi-level density of states ... 1.3715 states/eV/atom
! Total magnetic moment ... 0.00 μB/atom
&SYSTEM
  ibrav = 0, nat = 10, ntyp = 3
/
ATOMIC_SPECIES
Pr 140.91 Pr.upf
Sm 150.36 Sm.upf
Tm 168.93 Tm.upf
ATOMIC_POSITIONS crystal
Pr 0.4319 0.3239 0.6763
Pr 0.7558 0.6763 0.6761
Pr 0.1082 0.3237 0.3239
Pr 0.4321 0.6761 0.3237
Sm 0.7788 0.3762 0.9998
Sm 0.1550 0.9998 0.6238
Sm 0.7786 0.0002 0.3762
Sm 0.1548 0.6238 0.0002
Sm 0.6921 0.0000 0.0000
Tm 0.2229 0.0000 0.0000
CELL_PARAMETERS angstrom
-5.9393 -1.7945 -0.2099
-2.2351 -2.4724 -7.4216
-0.9080 -7.9220 1.6143

Most stable to least stable: arrangement A, arrangement B

Arrangement A

! PrSmTm5 (GGA-PBE, optimized geometry); values from VASP
! Fermi-level density of states ... 1.3071 states/eV/atom
! Total magnetic moment ... 0.00 μB/atom
&SYSTEM
  ibrav = 0, nat = 14, ntyp = 3
/
ATOMIC_SPECIES
Pr 140.91 Pr.upf
Sm 150.36 Sm.upf
Tm 168.93 Tm.upf
ATOMIC_POSITIONS crystal
Pr 0.7252 0.2748 0.7500
Pr 0.2748 0.7252 0.2500
Sm 0.0000 0.0000 0.0000
Sm 0.0000 0.0000 0.5000
Tm 0.1744 0.3917 0.7456
Tm 0.6347 0.7023 0.5022
Tm 0.3917 0.1744 0.2456
Tm 0.1594 0.8406 0.7500
Tm 0.2977 0.3653 0.9978
Tm 0.7023 0.6347 0.0022
Tm 0.8406 0.1594 0.2500
Tm 0.6083 0.8256 0.7544
Tm 0.3653 0.2977 0.4978
Tm 0.8256 0.6083 0.2544
CELL_PARAMETERS angstrom
-6.6383 -0.9637 0.1755
-2.3697 -6.2047 -0.9547
-5.4517 -6.7391 10.6615

Arrangement B

! PrSmTm5 (GGA-PBE, optimized geometry); values from VASP
! Fermi-level density of states ... 1.0519 states/eV/atom
! Total magnetic moment ... 0.00 μB/atom
&SYSTEM
  ibrav = 0, nat = 7, ntyp = 3
/
ATOMIC_SPECIES
Pr 140.91 Pr.upf
Sm 150.36 Sm.upf
Tm 168.93 Tm.upf
ATOMIC_POSITIONS crystal
Pr 0.9405 0.0000 0.0000
Sm 0.6976 0.5000 0.0000
Tm 0.1824 0.2575 0.5150
Tm 0.1722 0.5000 0.0000
Tm 0.6674 0.7425 0.4850
Tm 0.4353 0.8187 0.0000
Tm 0.4353 0.1813 0.0000
CELL_PARAMETERS angstrom
-3.9092 4.7488 -0.4042
-6.0665 -5.0814 -1.0282
4.1693 -0.0187 6.4602

Most stable to least stable: arrangement A, arrangement B

Arrangement A

! Pr4Sm3Tm2 (GGA-PBE, optimized geometry); values from VASP
! Fermi-level density of states ... 1.5939 states/eV/atom
! Total magnetic moment ... 0.00 μB/atom
&SYSTEM
  ibrav = 0, nat = 9, ntyp = 3
/
ATOMIC_SPECIES
Pr 140.91 Pr.upf
Sm 150.36 Sm.upf
Tm 168.93 Tm.upf
ATOMIC_POSITIONS crystal
Pr 0.5542 0.3300 0.1084
Pr 0.7774 0.6707 0.5548
Pr 0.4458 0.6700 0.8916
Pr 0.2226 0.3293 0.4452
Sm 0.8882 0.3303 0.7765
Sm 0.1118 0.6697 0.2235
Sm 0.0000 0.0000 0.0000
Tm 0.3319 0.0008 0.6639
Tm 0.6681 0.9992 0.3361
CELL_PARAMETERS angstrom
5.1473 0.0000 0.0000
0.0000 8.0808 0.6476
-2.5737 -3.0277 7.1108

Arrangement B

! Pr4Sm3Tm2 (GGA-PBE, optimized geometry); values from VASP
! Fermi-level density of states ... 1.4950 states/eV/atom
! Total magnetic moment ... 0.00 μB/atom
&SYSTEM
  ibrav = 0, nat = 9, ntyp = 3
/
ATOMIC_SPECIES
Pr 140.91 Pr.upf
Sm 150.36 Sm.upf
Tm 168.93 Tm.upf
ATOMIC_POSITIONS crystal
Pr 0.6516 0.3032 0.1282
Pr 0.1087 0.2174 0.6087
Pr 0.8913 0.7826 0.3913
Pr 0.3484 0.6968 0.8718
Sm 0.3793 0.7585 0.6135
Sm 0.0000 0.0000 0.0000
Sm 0.6207 0.2415 0.3865
Tm 0.3416 0.6831 0.2092
Tm 0.6584 0.3169 0.7908
CELL_PARAMETERS angstrom
-0.7023 -2.1119 -2.9508
6.7035 0.2557 0.5362
6.3016 -11.4546 6.6981

Most stable to least stable: arrangement A, arrangement B

Arrangement A

! Pr2Sm3Tm (GGA-PBE, optimized geometry); values from VASP
! Fermi-level density of states ... 1.6321 states/eV/atom
! Total magnetic moment ... 0.00 μB/atom
&SYSTEM
  ibrav = 0, nat = 12, ntyp = 3
/
ATOMIC_SPECIES
Pr 140.91 Pr.upf
Sm 150.36 Sm.upf
Tm 168.93 Tm.upf
ATOMIC_POSITIONS crystal
Pr 0.5000 0.7623 0.1510
Pr 0.0000 0.2623 0.3490
Pr 0.0000 0.7377 0.6510
Pr 0.5000 0.2377 0.8490
Sm 0.0000 0.0000 0.0000
Sm 0.5000 0.5000 0.5000
Sm 0.5000 0.7439 0.8231
Sm 0.5000 0.2561 0.1769
Sm 0.0000 0.2439 0.6769
Sm 0.0000 0.7561 0.3231
Tm 0.0000 0.0000 0.5000
Tm 0.5000 0.5000 0.0000
CELL_PARAMETERS angstrom
-0.5286 3.3510 0.4255
-6.2504 -0.6605 -2.5634
-6.3950 -3.0901 16.3895

Arrangement B

! Pr2Sm3Tm (GGA-PBE, optimized geometry); values from VASP
! Fermi-level density of states ... 1.4374 states/eV/atom
! Total magnetic moment ... 0.00 μB/atom
&SYSTEM
  ibrav = 0, nat = 12, ntyp = 3
/
ATOMIC_SPECIES
Pr 140.91 Pr.upf
Sm 150.36 Sm.upf
Tm 168.93 Tm.upf
ATOMIC_POSITIONS crystal
Pr 0.6239 0.1212 0.6280
Pr 0.1239 0.6280 0.1212
Pr 0.8761 0.3720 0.8788
Pr 0.3761 0.8788 0.3720
Sm 0.2500 0.4154 0.5846
Sm 0.7500 0.5846 0.4154
Sm 0.0004 0.8315 0.6649
Sm 0.4996 0.3351 0.1685
Sm 0.5004 0.6649 0.8315
Sm 0.9996 0.1685 0.3351
Tm 0.7500 0.9171 0.0829
Tm 0.2500 0.0829 0.9171
CELL_PARAMETERS angstrom
0.2258 2.0584 8.8852
5.0181 -4.1546 1.7772
3.8906 5.5026 -0.4314

Most stable to least stable: arrangement B, arrangement A

Arrangement A

! Pr3Sm7Tm2 (GGA-PBE, optimized geometry); values from VASP
! Fermi-level density of states ... 1.3656 states/eV/atom
! Total magnetic moment ... 0.00 μB/atom
&SYSTEM
  ibrav = 0, nat = 12, ntyp = 3
/
ATOMIC_SPECIES
Pr 140.91 Pr.upf
Sm 150.36 Sm.upf
Tm 168.93 Tm.upf
ATOMIC_POSITIONS crystal
Pr 0.5000 0.5000 0.0000
Pr 0.0000 0.2196 0.3658
Pr 0.0000 0.7804 0.6342
Sm 0.5000 0.7432 0.4640
Sm 0.5000 0.2568 0.5360
Sm 0.0000 0.6887 0.1456
Sm 0.0000 0.0000 0.0000
Sm 0.0000 0.3113 0.8544
Sm 0.5000 0.8097 0.8199
Sm 0.5000 0.1903 0.1801
Tm 0.5000 0.7107 0.2945
Tm 0.5000 0.2893 0.7055
CELL_PARAMETERS angstrom
3.6153 0.0000 0.0000
0.0000 5.9227 0.2892
0.0000 -1.9331 19.0171

Arrangement B

! Pr3Sm7Tm2 (GGA-PBE, optimized geometry); values from VASP
! Fermi-level density of states ... 1.6758 states/eV/atom
! Total magnetic moment ... 0.00 μB/atom
&SYSTEM
  ibrav = 0, nat = 12, ntyp = 3
/
ATOMIC_SPECIES
Pr 140.91 Pr.upf
Sm 150.36 Sm.upf
Tm 168.93 Tm.upf
ATOMIC_POSITIONS crystal
Pr 0.0000 0.0000 0.0000
Pr 0.1547 0.1547 0.5359
Pr 0.8453 0.8453 0.4641
Sm 0.5000 0.5000 0.5000
Sm 0.0809 0.5842 0.7507
Sm 0.5842 0.5842 0.7507
Sm 0.5842 0.0809 0.7507
Sm 0.9191 0.4158 0.2493
Sm 0.4158 0.9191 0.2493
Sm 0.4158 0.4158 0.2493
Tm 0.3335 0.3335 0.9994
Tm 0.6665 0.6665 0.0006
CELL_PARAMETERS angstrom
-0.9998 -6.0711 2.3693
-0.7967 -5.0662 -4.1437
10.6690 -5.5410 -0.5223

Most stable to least stable: arrangement A, arrangement B